Computed, not measured: crystalline CeSm4Rh5 at its relaxed geometry at the PBE level of DFT.

Cell lengths 3.4842, 3.4842, 17.6466 Å; angles 90.00, 90.00, 90.00 degrees
Closest atoms and distances in Å follow each position.
Space group P4/mmm (No. 123)
One atom of each set of equivalent atoms:
Ce  0.0000  0.0000  0.0000 (multiplicity 1)  8 Rh 2.95
Sm  0.0000  0.0000  0.1999 (multiplicity 2)  8 Rh 3.02-3.11
Sm  0.0000  0.0000  0.3998 (multiplicity 2)  8 Rh 3.03-3.04
Rh  0.5000  0.5000  0.0919 (multiplicity 2)  4 Ce 2.95, 4 Sm 3.11, 1 Rh 3.24
Rh  0.5000  0.5000  0.2988 (multiplicity 2)  8 Sm 3.02-3.04
Rh  0.5000  0.5000  0.5000 (multiplicity 1)  8 Sm 3.03

- final energy (eV/atom) = -6.868
- total magnetic moment (μB/atom) = 0.0000